## NaNbHg (PBE-GGA)

Data for an optimized crystal structure of NaNbHg.

a = 3.8011 Å, b = 3.8011 Å, c = 11.0944 Å
α = 90.00°, β = 90.00°, γ = 90.00°
With the nearest neighbours (Å) after each atom.
Space group P4/nmm (No. 129, origin choice 2)
Inequivalent atoms, fractional coordinates:
Na 0.2500 0.2500 0.2502 x2  5 Nb 3.20-3.57, 4 Hg 3.36
Nb 0.2500 0.2500 0.5386 x2  4 Nb 2.82
Hg 0.2500 0.7500 0.0000 x2  4 Hg 2.69

Computed properties:
ΔH_f (0 K): 0.5410 eV/atom

---

## Pm3Y2Mg (PBE-GGA)

Data for an optimized crystal structure of Pm3Y2Mg.

a = 3.6500 Å, b = 3.6500 Å, c = 14.4095 Å
α = 90.00°, β = 90.00°, γ = 90.00°
With the nearest neighbours (Å) after each atom.
Space group P4/mmm (No. 123)
Inequivalent atoms, fractional coordinates:
Pm 0.0000 0.0000 0.0000 x1  8 Y 3.61, 4 Pm 3.65
Pm 0.0000 0.0000 0.3489 x2  4 Mg 3.38, 4 Y 3.60, 4 Pm 3.65
Y 0.5000 0.5000 0.1750 x2  8 Pm 3.60-3.61, 4 Y 3.65
Mg 0.5000 0.5000 0.5000 x1  8 Pm 3.38, 4 Mg 3.65

Computed properties:
ΔH_f (0 K): -0.0171 eV/atom

---

## Cd5HgAu3 (PBE-GGA)

Data for an optimized crystal structure of Cd5HgAu3.

a = 13.4511 Å, b = 9.7499 Å, c = 5.8280 Å
α = 90.00°, β = 90.00°, γ = 90.00°
With the nearest neighbours (Å) after each atom.
Space group Cmcm (No. 63)
Inequivalent atoms, fractional coordinates:
Cd 0.0000 0.1894 0.2500 x4  5 Au 2.90-3.02
Cd 0.1645 0.3102 0.7500 x8  5 Au 2.85-3.10
Cd 0.1671 0.0000 0.0000 x8  4 Au 2.91-2.93, 4 Cd 2.91-3.25
Hg 0.0000 0.5000 0.0000 x4  2 Hg 2.91, 4 Au 2.98, 4 Cd 3.23
Au 0.0000 0.1208 0.7500 x4  9 Cd 2.88-3.02
Au 0.1700 0.3724 0.2500 x8  7 Cd 2.85-3.10, 2 Hg 2.98

Computed properties:
ΔH_f (0 K): -0.0953 eV/atom

---

no.,DOS at the Fermi energy (states/eV per cell),calculated density (g/cm3)
1,4.02,6.557
2,7.78,5.511
3,9.87,11.763